Entry 1:
Here is a geometry-optimized Cs3IF6 structure from Alexandria via LeMat-Bulk. Energies are from PBE-GGA.

Output
Magnetization   0.128 μB per formula unit
Formation energy from raw total energies   -2151 kJ/mol of formula units
Energy above the lowest structure with this stoichiometry   0.00 kJ/mol of atoms
SG   P2_1/c (14)
Total DFT energy (no corrections)   -37.63 eV/f.u.

Cell: 5.668 6.591 15.141 Å, 90.00 109.32 90.00°
Fractional positions:
Cs 0.000 0.000 0.000
Cs 0.000 0.500 0.500
Cs 0.249 0.054 0.755
Cs 0.249 0.446 0.255
Cs 0.751 0.554 0.745
Cs 0.751 0.946 0.245
I 0.500 0.000 0.500
I 0.500 0.500 0.000
F 0.141 0.088 0.429
F 0.141 0.412 0.929
F 0.217 0.017 0.202
F 0.217 0.483 0.702
F 0.427 0.713 0.446
F 0.427 0.787 0.946
F 0.573 0.213 0.054
F 0.573 0.287 0.554
F 0.783 0.517 0.298
F 0.783 0.983 0.798
F 0.859 0.588 0.071
F 0.859 0.912 0.571

---

Entry 2:
Here is a geometry-optimized Pu2PaSb3 structure from Alexandria via LeMat-Bulk. Energies are from PBE-GGA.

Output
Magnetization   11.695 μB per formula unit
Formation energy from raw total energies   -336 kJ/mol of formula units
SG   Immm (71)
Total DFT energy (no corrections)   -54.01 eV/f.u.

Cell: 7.632 7.632 7.632 Å, 146.22 131.76 60.18°
Fractional positions:
Pu 0.168 0.168 0.000
Pu 0.832 0.832 0.000
Pa 0.500 0.500 0.000
Sb 0.000 0.500 0.500
Sb 0.337 0.837 0.500
Sb 0.663 0.163 0.500

---

Entry 3:
Here is a geometry-optimized Ca2LaCu9 structure from Alexandria via LeMat-Bulk. Energies are from PBE-GGA.

Output
Magnetization   0.000 μB per formula unit
Energy above the lowest structure with this stoichiometry   0.00 kJ/mol of atoms
SG   R-3m (166)
Calculated formation energy   -136.5 meV per atom
Total DFT energy (no corrections)   -47.43 eV/f.u.

Cell: 8.919 8.919 8.919 Å, 34.28 34.28 34.28°
Fractional positions:
Ca 0.144 0.144 0.144
Ca 0.856 0.856 0.856
La 0.000 0.000 0.000
Cu 0.086 0.579 0.579
Cu 0.332 0.332 0.332
Cu 0.421 0.421 0.914
Cu 0.421 0.914 0.421
Cu 0.500 0.500 0.500
Cu 0.579 0.086 0.579
Cu 0.579 0.579 0.086
Cu 0.668 0.668 0.668
Cu 0.914 0.421 0.421